VASP calculation (GGA-PBEsol) on crystalline Dy2CuGe6 at its relaxed geometry.

Summary:
**Total moment**: 0.0 Bohr magnetons per cell
**Energy**: -5.3654 eV per atom
**Formation enthalpy at 0 K**: -0.48 eV/atom
**Space-group type**: Amm2

```
data_Dy2CuGe6
_chemical_formula_sum 'Dy2 Cu1 Ge6'
_symmetry_space_group_name_H-M 'P 1'
_symmetry_Int_Tables_number 1
_symmetry_space_group_name_Hall 'P 1'
_cell_length_a 4.0277
_cell_length_b 10.7199
_cell_length_c 10.7199
_cell_angle_alpha 21.38
_cell_angle_beta 90.00
_cell_angle_gamma 90.00
loop_
_atom_site_label
_atom_site_fract_x
_atom_site_fract_y
_atom_site_fract_z
Dy1 0.0000 0.0000 0.0000
Dy2 0.0000 0.3366 0.3366
Cu1 0.5000 0.5561 0.5561
Ge1 0.0000 0.6169 0.6169
Ge2 0.0000 0.7338 0.7338
Ge3 0.5000 0.1173 0.1173
Ge4 0.5000 0.2344 0.2344
Ge5 0.5000 0.4473 0.4473
Ge6 0.5000 0.8744 0.8744
```



VASP calculation (GGA-PBEsol) on crystalline LiBeAu2 at its relaxed geometry.

Summary:
**Total moment**: 0.0 Bohr magnetons per cell
**Energy**: -3.7528 eV per atom
**Formation enthalpy at 0 K**: -0.30 eV/atom
**Space-group type**: Cm

```
data_LiBeAu2
_chemical_formula_sum 'Li2 Be2 Au4'
_symmetry_space_group_name_H-M 'P 1'
_symmetry_Int_Tables_number 1
_symmetry_space_group_name_Hall 'P 1'
_cell_length_a 9.0780
_cell_length_b 2.8823
_cell_length_c 4.2772
_cell_angle_alpha 90.00
_cell_angle_beta 105.84
_cell_angle_gamma 90.00
loop_
_atom_site_label
_atom_site_fract_x
_atom_site_fract_y
_atom_site_fract_z
Li1 0.0000 0.0000 0.0000
Li2 0.5000 0.5000 0.0000
Be1 0.2442 0.0000 0.6449
Be2 0.7442 0.5000 0.6449
Au1 0.0213 0.5000 0.5231
Au2 0.2513 0.5000 0.1558
Au3 0.5213 0.0000 0.5231
Au4 0.7513 0.0000 0.1558
```



VASP calculation (GGA-PBEsol) on crystalline BaSr2Zn at its relaxed geometry.

Summary:
**Total moment**: 0.0 Bohr magnetons per cell
**Energy**: -1.9116 eV per atom
**Formation enthalpy at 0 K**: -0.06 eV/atom
**Space-group type**: P4/mmm

```
data_BaSr2Zn
_chemical_formula_sum 'Ba1 Sr2 Zn1'
_symmetry_space_group_name_H-M 'P 1'
_symmetry_Int_Tables_number 1
_symmetry_space_group_name_Hall 'P 1'
_cell_length_a 3.9486
_cell_length_b 3.9486
_cell_length_c 10.4637
_cell_angle_alpha 90.00
_cell_angle_beta 90.00
_cell_angle_gamma 90.00
loop_
_atom_site_label
_atom_site_fract_x
_atom_site_fract_y
_atom_site_fract_z
Ba1 0.0000 0.0000 0.0000
Sr1 0.5000 0.5000 0.3243
Sr2 0.5000 0.5000 0.6757
Zn1 0.0000 0.0000 0.5000
```



VASP calculation (GGA-PBEsol) on crystalline MnCoPt2 at its relaxed geometry.

Summary:
**Total moment**: 6.3 Bohr magnetons per cell
**Energy**: -7.9711 eV per atom
**Formation enthalpy at 0 K**: -0.11 eV/atom
**Space-group type**: P4/mmm

```
data_MnCoPt2
_chemical_formula_sum 'Mn1 Co1 Pt2'
_symmetry_space_group_name_H-M 'P 1'
_symmetry_Int_Tables_number 1
_symmetry_space_group_name_Hall 'P 1'
_cell_length_a 2.7127
_cell_length_b 2.7127
_cell_length_c 7.3657
_cell_angle_alpha 90.00
_cell_angle_beta 90.00
_cell_angle_gamma 90.00
loop_
_atom_site_label
_atom_site_fract_x
_atom_site_fract_y
_atom_site_fract_z
Mn1 0.0000 0.0000 0.0000
Co1 0.0000 0.0000 0.5000
Pt1 0.5000 0.5000 0.2581
Pt2 0.5000 0.5000 0.7419
```



VASP calculation (GGA-PBEsol) on crystalline AlSb2Ir at its relaxed geometry.

Summary:
**Total moment**: 0.0 Bohr magnetons per cell
**Energy**: -5.6212 eV per atom
**Formation energy from raw total energies**: 0.136 eV per atom
**Space-group type**: Pmmm

```
data_AlSb2Ir
_chemical_formula_sum 'Al1 Sb2 Ir1'
_symmetry_space_group_name_H-M 'P 1'
_symmetry_Int_Tables_number 1
_symmetry_space_group_name_Hall 'P 1'
_cell_length_a 3.0709
_cell_length_b 3.4854
_cell_length_c 7.4227
_cell_angle_alpha 90.00
_cell_angle_beta 90.00
_cell_angle_gamma 90.00
loop_
_atom_site_label
_atom_site_fract_x
_atom_site_fract_y
_atom_site_fract_z
Al1 0.0000 0.0000 0.0000
Sb1 0.5000 0.5000 0.2803
Sb2 0.5000 0.5000 0.7197
Ir1 0.0000 0.0000 0.5000
```



VASP calculation (GGA-PBEsol) on crystalline CdTc2Pt at its relaxed geometry.

Summary:
**Total moment**: 0.0 Bohr magnetons per cell
**Energy**: -7.3991 eV per atom
**Formation enthalpy at 0 K**: 0.27 eV/atom
**Space-group type**: P4/mmm

```
data_CdTc2Pt
_chemical_formula_sum 'Cd1 Tc2 Pt1'
_symmetry_space_group_name_H-M 'P 1'
_symmetry_Int_Tables_number 1
_symmetry_space_group_name_Hall 'P 1'
_cell_length_a 3.7394
_cell_length_b 3.7394
_cell_length_c 4.3692
_cell_angle_alpha 90.00
_cell_angle_beta 90.00
_cell_angle_gamma 90.00
loop_
_atom_site_label
_atom_site_fract_x
_atom_site_fract_y
_atom_site_fract_z
Cd1 0.0000 0.0000 0.0000
Tc1 0.0000 0.5000 0.5000
Tc2 0.5000 0.0000 0.5000
Pt1 0.5000 0.5000 0.0000
```



VASP calculation (GGA-PBEsol) on crystalline BeSb2W at its relaxed geometry.

Summary:
**Total moment**: 0.0 Bohr magnetons per cell
**Energy**: -5.9846 eV per atom
**Formation energy from raw total energies**: 0.746 eV per atom
**Space-group type**: Cmmm

```
data_BeSb2W
_chemical_formula_sum 'Be2 Sb4 W2'
_symmetry_space_group_name_H-M 'P 1'
_symmetry_Int_Tables_number 1
_symmetry_space_group_name_Hall 'P 1'
_cell_length_a 6.0206
_cell_length_b 7.0247
_cell_length_c 3.3635
_cell_angle_alpha 90.00
_cell_angle_beta 90.00
_cell_angle_gamma 90.00
loop_
_atom_site_label
_atom_site_fract_x
_atom_site_fract_y
_atom_site_fract_z
Be1 0.0000 0.0000 0.0000
Be2 0.5000 0.5000 0.0000
Sb1 0.2500 0.2500 0.5000
Sb2 0.2500 0.7500 0.5000
Sb3 0.7500 0.2500 0.5000
Sb4 0.7500 0.7500 0.5000
W1 0.0000 0.5000 0.0000
W2 0.5000 0.0000 0.0000
```



VASP calculation (GGA-PBEsol) on crystalline Hg2MoIr at its relaxed geometry.

Summary:
**Total moment**: 0.0 Bohr magnetons per cell
**Energy**: -5.1415 eV per atom
**Formation enthalpy at 0 K**: 0.54 eV/atom
**Distance to the lowest polymorph of the same formula**: 0.33 eV/f.u.
**Space-group type**: P2/m

```
data_Hg2MoIr
_chemical_formula_sum 'Hg2 Mo1 Ir1'
_symmetry_space_group_name_H-M 'P 1'
_symmetry_Int_Tables_number 1
_symmetry_space_group_name_Hall 'P 1'
_cell_length_a 2.8630
_cell_length_b 4.8173
_cell_length_c 4.9870
_cell_angle_alpha 90.00
_cell_angle_beta 92.34
_cell_angle_gamma 90.00
loop_
_atom_site_label
_atom_site_fract_x
_atom_site_fract_y
_atom_site_fract_z
Hg1 0.2237 0.0000 0.2507
Hg2 0.7763 0.0000 0.7493
Mo1 0.5000 0.5000 0.0000
Ir1 0.0000 0.5000 0.5000
```